VASP calculation (PBE with a Hubbard U) on crystalline NaMn6Al3H42S2O38 at its relaxed geometry.

Summary:
DFT total energy ... -5.67 eV per atom
Fermi-level density of states ... 0.00 states/eV/f.u.

Cell: 12.327 12.327 12.327 Å, 45.86 45.86 45.86°
Fractional coordinates of all 92 atoms:
Na: 0.000 0.000 0.000
Mn: 0.165 0.502 0.833
Mn: 0.167 0.835 0.498
Mn: 0.498 0.167 0.835
Mn: 0.502 0.833 0.165
Mn: 0.833 0.165 0.502
Mn: 0.835 0.498 0.167
Al: 0.164 0.164 0.164
Al: 0.500 0.500 0.500
Al: 0.836 0.836 0.836
H: 0.011 0.701 0.975
H: 0.024 0.204 0.631
H: 0.025 0.989 0.299
H: 0.040 0.309 0.328
H: 0.066 0.450 0.642
H: 0.149 0.789 0.218
H: 0.204 0.631 0.024
H: 0.211 0.782 0.851
H: 0.218 0.149 0.789
H: 0.226 0.351 0.530
H: 0.299 0.025 0.989
H: 0.309 0.328 0.040
H: 0.316 0.366 0.638
H: 0.328 0.040 0.309
H: 0.351 0.530 0.226
H: 0.358 0.934 0.550
H: 0.362 0.684 0.634
H: 0.366 0.638 0.316
H: 0.369 0.976 0.796
H: 0.450 0.642 0.066
H: 0.470 0.774 0.649
H: 0.530 0.226 0.351
H: 0.550 0.358 0.934
H: 0.631 0.024 0.204
H: 0.634 0.362 0.684
H: 0.638 0.316 0.366
H: 0.642 0.066 0.450
H: 0.649 0.470 0.774
H: 0.672 0.960 0.691
H: 0.684 0.634 0.362
H: 0.691 0.672 0.960
H: 0.701 0.975 0.011
H: 0.774 0.649 0.470
H: 0.782 0.851 0.211
H: 0.789 0.218 0.149
H: 0.796 0.369 0.976
H: 0.851 0.211 0.782
H: 0.934 0.550 0.358
H: 0.960 0.691 0.672
H: 0.975 0.011 0.701
H: 0.976 0.796 0.369
H: 0.989 0.299 0.025
S: 0.296 0.296 0.296
S: 0.704 0.704 0.704
O: 0.001 0.291 0.297
O: 0.031 0.866 0.255
O: 0.034 0.332 0.036
O: 0.036 0.034 0.332
O: 0.114 0.339 0.391
O: 0.134 0.745 0.969
O: 0.176 0.356 0.634
O: 0.255 0.031 0.866
O: 0.291 0.297 0.001
O: 0.297 0.001 0.291
O: 0.332 0.036 0.034
O: 0.334 0.632 0.626
O: 0.339 0.391 0.114
O: 0.342 0.342 0.342
O: 0.356 0.634 0.176
O: 0.366 0.824 0.644
O: 0.368 0.374 0.666
O: 0.374 0.666 0.368
O: 0.391 0.114 0.339
O: 0.609 0.886 0.661
O: 0.626 0.334 0.632
O: 0.632 0.626 0.334
O: 0.634 0.176 0.356
O: 0.644 0.366 0.824
O: 0.658 0.658 0.658
O: 0.661 0.609 0.886
O: 0.666 0.368 0.374
O: 0.668 0.964 0.966
O: 0.703 0.999 0.709
O: 0.709 0.703 0.999
O: 0.745 0.969 0.134
O: 0.824 0.644 0.366
O: 0.866 0.255 0.031
O: 0.886 0.661 0.609
O: 0.964 0.966 0.668
O: 0.966 0.668 0.964
O: 0.969 0.134 0.745
O: 0.999 0.709 0.703